## Pu3Pd4Pb2 (PBE)

Data for a relaxed structure of Pu3Pd4Pb2.

Calculated values
The value obtained for the energy of formation is -370 meV/atom. The total energy comes out at -8.279 eV/atom.

abc: 8.507 4.908 9.214
angles: 90.00 90.09 90.00
Space group C2/m (No. 12)
Inequivalent atoms, fractional coordinates:
1 Pu 0.000 0.000 0.000 [2 per cell]
2 Pu 0.167 0.500 0.427 [4 per cell]
3 Pd 0.000 0.000 0.345 [4 per cell]
4 Pd 0.167 0.500 0.094 [4 per cell]
5 Pb 0.166 0.500 0.782 [4 per cell]